[1]
LiSmGa2Au2 PBE optimized geometry; density of states at the Fermi level = 2.9 states/eV/cell; formation energy = -63 kJ per mole of atoms; space-group type = P-3m1 (164)
1.0
4.519 0.000 0.000
-2.259 3.913 0.000
0.000 0.000 6.599
Li Sm Ga Au
1 1 2 2
direct
0.000 0.000 0.000
0.000 0.000 0.500
0.333 0.667 0.206
0.667 0.333 0.794
0.333 0.667 0.779
0.667 0.333 0.221

[2]
LiGaSnAu PBE optimized geometry; density of states at the Fermi level = 2.7 states/eV/cell; formation energy = -21 kJ per mole of atoms; space-group type = F-43m (216)
1.0
0.000 3.401 3.401
3.401 0.000 3.401
3.401 3.401 0.000
Li Ga Sn Au
1 1 1 1
direct
0.000 0.000 0.000
0.750 0.750 0.750
0.500 0.500 0.500
0.250 0.250 0.250

[3]
Li2GaSnAu4 PBE optimized geometry; density of states at the Fermi level = 3.2 states/eV/cell; formation energy = -39 kJ per mole of atoms; space-group type = R-3m (166)
1.0
2.296 1.326 7.625
-2.296 1.326 7.625
0.000 -2.651 7.625
Li Ga Sn Au
2 1 1 4
direct
0.249 0.249 0.249
0.751 0.751 0.751
0.000 0.000 0.000
0.500 0.500 0.500
0.117 0.117 0.117
0.369 0.369 0.369
0.631 0.631 0.631
0.883 0.883 0.883

[4]
Li3Ga2Sn2Au4 PBE optimized geometry; density of states at the Fermi level = 5.5 states/eV/cell; formation energy = -38 kJ per mole of atoms; space-group type = P-3m1 (164)
1.0
4.631 0.000 0.000
-2.315 4.010 0.000
0.000 0.000 11.524
Li Ga Sn Au
3 2 2 4
direct
0.000 0.000 0.000
0.000 0.000 0.250
0.000 0.000 0.750
0.333 0.667 0.118
0.667 0.333 0.882
0.333 0.667 0.609
0.667 0.333 0.391
0.333 0.667 0.353
0.333 0.667 0.880
0.667 0.333 0.120
0.667 0.333 0.647

Q: Which formula does entry 2 have?
A: LiGaSnAu

Q: Among the records above, which one has the highest density of states at the Fermi level?
A: Li3Ga2Sn2Au4

Please write out number 1 again, unchanged.
LiSmGa2Au2 PBE optimized geometry; density of states at the Fermi level = 2.9 states/eV/cell; formation energy = -63 kJ per mole of atoms; space-group type = P-3m1 (164)
1.0
4.519 0.000 0.000
-2.259 3.913 0.000
0.000 0.000 6.599
Li Sm Ga Au
1 1 2 2
direct
0.000 0.000 0.000
0.000 0.000 0.500
0.333 0.667 0.206
0.667 0.333 0.794
0.333 0.667 0.779
0.667 0.333 0.221

Q: Which formula does entry 4 have?
A: Li3Ga2Sn2Au4